V3SnH PBE relaxed; crystal system = triclinic
1.0
-0.316 -2.440 -4.480
1.241 -4.404 4.730
-3.898 0.922 1.877
V H Sn
6 2 2
direct
0.236 0.984 0.169
0.790 0.114 0.935
0.304 0.250 0.686
0.754 0.607 0.921
0.308 0.736 0.687
0.240 0.470 0.170
0.149 0.704 0.994
0.394 0.016 0.862
0.772 0.860 0.428
0.772 0.360 0.428


YZrSi2 PBE relaxed; crystal system = monoclinic; ΔE_f (raw) = -0.541 eV per atom; relative energy among the computed polymorphs = 0.296 eV/atom
1.0
-2.782 2.284 -1.035
-0.984 -2.289 -2.404
-4.532 -4.523 2.203
Zr Si Y
1 2 1
direct
0.500 0.750 0.750
0.000 0.433 0.548
0.000 0.067 0.952
0.500 0.250 0.250


NpNb2V PBE relaxed; crystal system = tetragonal; relative energy among the computed polymorphs = 0.032 eV/atom
1.0
-0.593 -1.746 2.568
2.616 -1.689 -0.544
3.876 4.687 4.083
V Np Nb
1 1 2
direct
0.500 0.500 0.500
0.500 0.500 0.000
0.000 0.000 0.286
0.000 0.000 0.714


AcCeNiIr PBE relaxed; crystal system = cubic
1.0
5.071 0.000 0.000
2.536 4.392 0.000
2.536 1.464 4.141
Ni Ac Ce Ir
1 1 1 1
direct
0.250 0.250 0.250
0.000 0.000 0.000
0.500 0.500 0.500
0.750 0.750 0.750


ErPa2Nb PBE relaxed; crystal system = tetragonal; relative energy among the computed polymorphs = 0.000 eV/atom
1.0
-3.193 -0.599 -1.165
-0.972 -0.973 3.165
-2.139 7.935 1.781
Er Nb Pa
1 1 2
direct
0.500 0.500 0.500
0.500 0.500 0.000
0.000 0.000 0.785
0.000 0.000 0.215


Cu4TeI2Cl PBE relaxed; crystal system = tetragonal; ΔE_f (raw) = -0.141 eV per atom
1.0
5.861 0.243 -0.001
-0.244 5.861 -0.001
-2.810 -3.053 5.944
Cu Cl I Te
4 1 2 1
direct
0.643 0.643 0.774
0.869 0.356 0.226
0.131 0.131 0.774
0.356 0.869 0.226
0.000 0.000 0.000
0.750 0.250 0.500
0.250 0.750 0.500
0.500 0.500 0.000


Er4InRh2 PBE relaxed; crystal system = trigonal
1.0
4.577 0.000 0.000
2.289 3.964 0.000
2.289 1.321 9.883
Rh Er In
2 4 1
direct
0.098 0.098 0.707
0.902 0.902 0.293
0.799 0.799 0.604
0.201 0.201 0.396
0.610 0.610 0.171
0.390 0.390 0.829
0.000 0.000 0.000


BaSbRhPb PBE relaxed; crystal system = tetragonal; ΔE_f (raw) = -0.537 eV per atom
1.0
-2.226 -1.387 -3.712
3.771 0.567 -2.473
3.222 -11.349 2.310
Sb Rh Pb Ba
2 2 2 2
direct
0.750 0.750 0.888
0.250 0.250 0.112
0.250 0.750 0.000
0.750 0.250 0.000
0.250 0.750 0.500
0.750 0.250 0.500
0.750 0.750 0.242
0.250 0.250 0.758


| no. | calculated density (g/cm3) | magnetic moment (μB per atom) | raw total energy (eV/atom) |
| --- | --- | --- | --- |
| 1 | 7.2 | 0.000 | -7.06 |
| 2 | 4.9 | 0.000 | -7.01 |
| 3 | 10.7 | 1.033 | -10.26 |
| 4 | 11.1 | 0.200 | -6.52 |
| 5 | 12.0 | 0.000 | -8.15 |
| 6 | 5.4 | 0.000 | -3.20 |
| 7 | 9.2 | 0.000 | -5.67 |
| 8 | 7.6 | 0.000 | -4.81 |